(1)
Density functional theory data (PBE) for an optimized crystal structure of Nd5In2.

Cell and atoms, written as POSCAR:
```
Nd5In2
1.0
8.126 -2.965 0.000
8.126 2.965 0.000
-1.283 0.000 9.158
Nd In
10 4
Direct
0.081 0.664 0.046
0.122 0.429 0.679
0.219 0.781 0.750
0.336 0.919 0.454
0.429 0.122 0.179
0.571 0.878 0.821
0.664 0.081 0.546
0.781 0.219 0.250
0.878 0.571 0.321
0.919 0.336 0.954
0.225 0.615 0.401
0.385 0.775 0.099
0.615 0.225 0.901
0.775 0.385 0.599
```

Values from the calculation:
D(E_F): 1.034 states/eV/atom
ρ: 7.155 g/cm3
Energy relative to the elements: -1.9 eV per formula unit
E: -4.46 eV per atom
Space-group type: C2/c



(2)
Density functional theory data (PBE) for an optimized crystal structure of NdIn2.

Cell and atoms, written as POSCAR:
```
NdIn2
1.0
0.000 4.306 4.306
4.306 0.000 4.306
4.306 4.306 0.000
Nd In
2 4
Direct
0.125 0.125 0.125
0.875 0.875 0.875
0.000 0.500 0.500
0.500 0.000 0.500
0.500 0.500 0.000
0.500 0.500 0.500
```

Values from the calculation:
D(E_F): 0.743 states/eV/atom
ρ: 7.775 g/cm3
Energy relative to the elements: -1.3 eV per formula unit
E: -3.84 eV per atom
Space-group type: Fd-3m



(3)
Density functional theory data (PBE) for an optimized crystal structure of Nd5In.

Cell and atoms, written as POSCAR:
```
Nd5In
1.0
5.708 -2.465 0.000
5.708 2.465 0.000
-2.288 0.000 6.916
Nd In
5 1
Direct
0.000 0.000 0.000
0.326 0.326 0.660
0.345 0.345 0.178
0.655 0.655 0.822
0.674 0.674 0.340
0.000 0.000 0.500
```

Values from the calculation:
D(E_F): 1.354 states/eV/atom
ρ: 7.132 g/cm3
ΔE to the lowest computed polymorph: 0.015 eV per atom
Energy relative to the elements: -0.8 eV per formula unit
E: -4.57 eV per atom
Space-group type: C2/m



(4)
Density functional theory data (PBE) for an optimized crystal structure of Nd5In6.

Cell and atoms, written as POSCAR:
```
Nd5In6
1.0
-2.693 3.802 8.045
2.693 -3.802 8.045
2.693 3.802 -8.045
Nd In
5 6
Direct
0.000 0.000 0.000
0.158 0.658 0.500
0.316 0.316 0.000
0.684 0.684 0.000
0.842 0.342 0.500
0.128 0.849 0.279
0.297 0.500 0.797
0.431 0.151 0.279
0.569 0.849 0.721
0.703 0.500 0.203
0.872 0.151 0.721
```

Values from the calculation:
D(E_F): 0.920 states/eV/atom
ρ: 7.107 g/cm3
Energy relative to the elements: -4.2 eV per formula unit
E: -4.05 eV per atom
Space-group type: Immm